1.
Here is a relaxed structure of Ho4Ga12Pd from the Open Quantum Materials Database. Energies are from PBE.

DFT total energy ... -4.1185 eV/atom
Crystal system ... cubic
Calculated volume ... 18.73 A^3/atom

Unit cell a=7.450 b=7.450 c=7.450 alpha=109.47 beta=109.47 gamma=109.47
Atoms (fractional coordinates):
Ho 0.000 0.000 0.500
Ho 0.000 0.500 0.000
Ho 0.500 0.000 0.000
Ho 0.500 0.500 0.500
Ga 0.000 0.296 0.296
Ga 0.000 0.704 0.704
Ga 0.250 0.500 0.750
Ga 0.250 0.750 0.500
Ga 0.296 0.000 0.296
Ga 0.296 0.296 0.000
Ga 0.500 0.250 0.750
Ga 0.500 0.750 0.250
Ga 0.704 0.000 0.704
Ga 0.704 0.704 0.000
Ga 0.750 0.250 0.500
Ga 0.750 0.500 0.250
Pd 0.000 0.000 0.000



2.
Here is a relaxed structure of GdTmW from the Open Quantum Materials Database. Energies are from PBE.

DFT total energy ... -5.9651 eV/atom
Formation enthalpy at 0 K ... 1398 meV/atom
Crystal system ... cubic
Calculated volume ... 27.35 A^3/atom
Relative energy among the computed polymorphs ... 0 kJ/mol of formula units

Unit cell a=6.898 b=6.898 c=6.898 alpha=90.00 beta=90.00 gamma=90.00
Atoms (fractional coordinates):
Gd 0.000 0.000 0.000
Gd 0.000 0.500 0.500
Gd 0.500 0.000 0.500
Gd 0.500 0.500 0.000
Tm 0.250 0.250 0.250
Tm 0.250 0.750 0.750
Tm 0.750 0.250 0.750
Tm 0.750 0.750 0.250
W 0.000 0.000 0.500
W 0.000 0.500 0.000
W 0.500 0.000 0.000
W 0.500 0.500 0.500



3.
Here is a relaxed structure of InCuAgOs from the Open Quantum Materials Database. Energies are from PBE.

DFT total energy ... -4.6056 eV/atom
Crystal system ... cubic
Calculated volume ... 16.31 A^3/atom
Relative energy among the computed polymorphs ... 0 kJ/mol of formula units

Unit cell a=6.390 b=6.390 c=6.390 alpha=90.00 beta=90.00 gamma=90.00
Atoms (fractional coordinates):
In 0.000 0.000 0.000
In 0.000 0.500 0.500
In 0.500 0.000 0.500
In 0.500 0.500 0.000
Cu 0.250 0.250 0.250
Cu 0.250 0.750 0.750
Cu 0.750 0.250 0.750
Cu 0.750 0.750 0.250
Ag 0.000 0.000 0.500
Ag 0.000 0.500 0.000
Ag 0.500 0.000 0.000
Ag 0.500 0.500 0.500
Os 0.250 0.250 0.750
Os 0.250 0.750 0.250
Os 0.750 0.250 0.250
Os 0.750 0.750 0.750



4.
Here is a relaxed structure of ScCu2Au3 from the Open Quantum Materials Database. Energies are from PBE.

DFT total energy ... -4.1979 eV/atom
Formation enthalpy at 0 K ... -271 meV/atom
Crystal system ... tetragonal
Calculated volume ... 16.67 A^3/atom

Unit cell a=3.373 b=3.373 c=8.789 alpha=90.00 beta=90.00 gamma=90.00
Atoms (fractional coordinates):
Sc 0.000 0.000 0.000
Cu 0.000 0.000 0.342
Cu 0.500 0.500 0.824
Au 0.000 0.000 0.682
Au 0.500 0.500 0.172
Au 0.500 0.500 0.492



- Which of these has the highest calculated volume?
  GdTmW